Material: Ba3Na2Tl4Zn2
Method: DFT, PBE
State: relaxed

Properties
SG	P-3m1
raw total energy	-2.02	eV/atom
DOS(E_F)	7.29	states/eV/cell

Geometry as POSCAR:
```
Ba3Na2Tl4Zn2
1.0
-0.918 4.594 2.381
-3.486 -1.925 -3.429
-7.561 -7.750 12.037
Ba Na Tl Zn
3 2 4 2
Direct
0.000 0.000 0.748
0.000 0.000 0.000
0.000 0.000 0.252
0.667 0.333 0.440
0.333 0.667 0.560
0.667 0.333 0.133
0.333 0.667 0.867
0.667 0.333 0.648
0.333 0.667 0.352
0.667 0.333 0.853
0.333 0.667 0.147
```

Material: BaNa2Tm
Method: DFT, PBE
State: relaxed

Properties
SG	R-3m
raw total energy	-1.88	eV/atom
DOS(E_F)	4.89	states/eV/cell

Geometry as POSCAR:
```
BaNa2Tm
1.0
3.650 0.000 0.000
1.825 3.161 0.000
1.825 1.054 13.765
Na Tm Ba
2 1 1
Direct
0.083 0.083 0.751
0.917 0.917 0.249
0.000 0.000 0.000
0.500 0.500 0.500
```

Material: Ba2NaTm
Method: DFT, PBE
State: relaxed

Properties
SG	P4/mmm
raw total energy	-2.21	eV/atom
DOS(E_F)	6.57	states/eV/cell

Geometry as POSCAR:
```
Ba2NaTm
1.0
4.434 0.000 0.000
0.000 4.434 0.000
0.000 0.000 9.518
Na Tm Ba
1 1 2
Direct
0.500 0.500 0.500
0.500 0.500 0.000
0.000 0.000 0.761
0.000 0.000 0.239
```

Material: Ba2NaTm
Method: DFT, PBE
State: relaxed

Properties
SG	R-3m
raw total energy	-2.05	eV/atom
DOS(E_F)	4.63	states/eV/cell

Geometry as POSCAR:
```
Ba2NaTm
1.0
-2.699 -1.963 1.809
0.884 -3.215 1.814
1.932 5.582 12.926
Na Tm Ba
1 1 2
Direct
0.500 0.500 0.500
0.000 0.000 0.000
0.084 0.084 0.748
0.916 0.916 0.252
```

Material: BaNaTm
Method: DFT, PBE
State: relaxed

Properties
SG	P4/nmm
raw total energy	-2.45	eV/atom
DOS(E_F)	5.77	states/eV/cell

Geometry as POSCAR:
```
BaNaTm
1.0
4.197 0.000 0.000
0.000 4.197 0.000
0.000 0.000 14.328
Na Ba Tm
2 2 2
Direct
0.000 0.500 0.569
0.500 0.000 0.431
0.500 0.000 0.763
0.000 0.500 0.237
0.000 0.500 0.943
0.500 0.000 0.057
```

Material: BaNaV2
Method: DFT, PBE
State: relaxed

Properties
SG	Fm-3m
raw total energy	-4.10	eV/atom
DOS(E_F)	8.65	states/eV/cell

Geometry as POSCAR:
```
BaNaV2
1.0
0.000 3.921 3.921
3.921 0.000 3.921
3.921 3.921 0.000
Na Ba V
1 1 2
Direct
0.000 0.000 0.000
0.500 0.500 0.500
0.250 0.250 0.250
0.750 0.750 0.750
```

Material: BaNa2V
Method: DFT, PBE
State: relaxed

Properties
SG	Fm-3m
raw total energy	-2.73	eV/atom
DOS(E_F)	5.55	states/eV/cell

Geometry as POSCAR:
```
BaNa2V
1.0
-1.050 -5.457 -1.691
-5.223 -2.371 0.916
-3.553 -1.019 -4.481
Na Ba V
2 1 1
Direct
0.250 0.250 0.250
0.750 0.750 0.750
0.500 0.500 0.500
0.000 0.000 0.000
```

Material: Ba2NaV2
Method: DFT, PBE
State: relaxed

Properties
SG	I4/mmm
raw total energy	-3.90	eV/atom
DOS(E_F)	3.24	states/eV/cell

Geometry as POSCAR:
```
Ba2NaV2
1.0
6.509 0.000 0.000
0.000 6.509 0.000
3.255 3.255 4.302
Na Ba V
1 2 2
Direct
0.000 0.000 0.000
0.750 0.250 0.500
0.250 0.750 0.500
0.395 0.395 0.210
0.605 0.605 0.790
```

Material: BaNaV2
Method: DFT, PBE
State: relaxed

Properties
SG	I-42d
raw total energy	-4.06	eV/atom
DOS(E_F)	8.72	states/eV/cell

Geometry as POSCAR:
```
BaNaV2
1.0
-2.112 2.196 3.912
-1.703 -4.392 1.547
7.469 -2.646 8.660
Na Ba V
2 2 4
Direct
0.500 0.500 0.000
0.250 0.750 0.500
0.000 0.000 0.000
0.750 0.250 0.500
0.488 0.125 0.250
0.262 0.625 0.250
0.375 0.512 0.750
0.875 0.738 0.750
```

Material: BaNa3V
Method: DFT, PBE
State: relaxed

Properties
SG	Pm-3m
raw total energy	-2.31	eV/atom
DOS(E_F)	6.66	states/eV/cell

Geometry as POSCAR:
```
BaNa3V
1.0
5.889 0.000 0.000
0.000 5.889 0.000
0.000 0.000 5.889
Na Ba V
3 1 1
Direct
0.000 0.500 0.000
0.000 0.000 0.500
0.500 0.000 0.000
0.500 0.500 0.500
0.000 0.000 0.000
```

Material: Ba2NaV2
Method: DFT, PBE
State: relaxed

Properties
SG	P4/mbm
raw total energy	-3.99	eV/atom
DOS(E_F)	8.15	states/eV/cell

Geometry as POSCAR:
```
Ba2NaV2
1.0
9.585 0.000 0.000
0.000 9.585 0.000
0.000 0.000 4.086
Na Ba V
2 4 4
Direct
0.000 0.000 0.000
0.500 0.500 0.000
0.201 0.701 0.500
0.701 0.799 0.500
0.799 0.299 0.500
0.299 0.201 0.500
0.432 0.932 0.000
0.932 0.568 0.000
0.568 0.068 0.000
0.068 0.432 0.000
```

Material: BaNa2V
Method: DFT, PBE
State: relaxed

Properties
SG	I-42d
raw total energy	-2.68	eV/atom
DOS(E_F)	10.88	states/eV/cell

Geometry as POSCAR:
```
BaNa2V
1.0
4.870 0.000 0.000
0.000 4.870 0.000
2.435 2.435 12.845
Na Ba V
4 2 2
Direct
0.583 0.125 0.250
0.167 0.625 0.250
0.375 0.417 0.750
0.875 0.833 0.750
0.000 0.000 0.000
0.750 0.250 0.500
0.500 0.500 0.000
0.250 0.750 0.500
```

Per-record calculated formation energy, eV per atom: -0.1639, 0.3819, 0.1946, 0.3555, 0.1232, 1.2652, 0.6882, 0.7799, 1.3055, 0.6934, 0.6928, 0.7428